This record from Alexandria describes ZnSn3Rh after structural relaxation. The functional is PBE-GGA.

## Properties
formation energy = 754 meV/atom
volume = 129.6 Å³ per cell
Fermi-level density of states = 4.247 states/eV/cell
energy relative to the lowest polymorph listed for this composition = 0.636 eV per atom
magnetic moment = 0.00 μB/cell
DFT total energy = -16.86 eV for the cell shown

a b c (Å): 5.0611 5.0611 5.0611
angles (deg): 90.00 90.00 90.00
Closest atoms and distances in Å follow each position.
Atoms (fractional coordinates):
Zn: 0.0000 0.0000 0.0000  6 Sn 2.53
Sn: 0.0000 0.0000 0.5000  2 Zn 2.53
Sn: 0.0000 0.5000 0.0000  2 Zn 2.53
Sn: 0.5000 0.0000 0.0000  2 Zn 2.53
Rh: 0.5000 0.5000 0.5000  12 Sn 3.58



This record from Alexandria describes CrBW4 after structural relaxation. The functional is PBE-GGA.

## Properties
formation energy = 228 meV/atom
volume = 169.4 Å³ per cell
Fermi-level density of states = 11.880 states/eV/cell
magnetic moment = 0.00 μB/cell
DFT total energy = -133.50 eV for the cell shown

a b c (Å): 6.5315 6.5315 6.5315
angles (deg): 127.67 127.67 77.17
Closest atoms and distances in Å follow each position.
Atoms (fractional coordinates):
Cr: 0.0000 0.0000 0.0000  2 B 2.55, 8 W 2.56
Cr: 0.5000 0.5000 0.0000  2 B 2.55, 8 W 2.56
B: 0.2500 0.2500 0.0000  8 W 2.43, 2 Cr 2.55
B: 0.7500 0.7500 0.0000  8 W 2.43, 2 Cr 2.55
W: 0.0312 0.5312 0.8373  2 B 2.43, 2 Cr 2.56, 1 W 2.65
W: 0.1939 0.0312 0.5000  2 B 2.43, 2 Cr 2.56, 1 W 2.65
W: 0.3061 0.8061 0.8373  2 B 2.43, 2 Cr 2.56, 1 W 2.65
W: 0.4688 0.3061 0.5000  2 B 2.43, 2 Cr 2.56, 1 W 2.65
W: 0.5312 0.6939 0.5000  2 B 2.43, 2 Cr 2.56, 1 W 2.65
W: 0.6939 0.1939 0.1627  2 B 2.43, 2 Cr 2.56, 1 W 2.65
W: 0.8061 0.9688 0.5000  2 B 2.43, 2 Cr 2.56, 1 W 2.65
W: 0.9688 0.4688 0.1627  2 B 2.43, 2 Cr 2.56, 1 W 2.65



This record from Alexandria describes Ba2InOsN after structural relaxation. The functional is PBE-GGA.

## Properties
volume = 136.5 Å³ per cell
Fermi-level density of states = 2.445 states/eV/cell
magnetic moment = 0.00 μB/cell
DFT total energy = -27.30 eV for the cell shown

a b c (Å): 5.9727 5.9727 3.8261
angles (deg): 90.00 90.00 90.00
Closest atoms and distances in Å follow each position.
Atoms (fractional coordinates):
Ba: 0.0000 0.5000 0.0000  2 N 2.99
Ba: 0.5000 0.0000 0.0000  2 N 2.99
In: 0.0000 0.0000 0.5000  8 Ba 3.55, 2 In 3.83
Os: 0.5000 0.5000 0.5000  2 N 1.91
N: 0.5000 0.5000 0.0000  2 Os 1.91



This record from Alexandria describes NdSmThHg after structural relaxation. The functional is PBE-GGA.

## Properties
formation energy = 42 meV/atom
volume = 119.5 Å³ per cell
Fermi-level density of states = 6.205 states/eV/cell
magnetic moment = 0.25 μB/cell
DFT total energy = -17.04 eV for the cell shown

a b c (Å): 5.5285 5.5285 5.5285
angles (deg): 60.00 60.00 60.00
Closest atoms and distances in Å follow each position.
Atoms (fractional coordinates):
Nd: 0.0000 0.0000 0.0000  4 Th 3.39, 4 Hg 3.39
Sm: 0.5000 0.5000 0.5000  4 Th 3.39, 4 Hg 3.39
Th: 0.7500 0.7500 0.7500  4 Sm 3.39, 4 Nd 3.39
Hg: 0.2500 0.2500 0.2500  4 Nd 3.39, 4 Sm 3.39



This record from Alexandria describes KMgRe after structural relaxation. The functional is PBE-GGA.

## Properties
formation energy = 879 meV/atom
volume = 63.4 Å³ per cell
Fermi-level density of states = 1.605 states/eV/cell
energy relative to the lowest polymorph listed for this composition = 0.000 eV per atom
magnetic moment = 0.00 μB/cell
DFT total energy = -12.50 eV for the cell shown

a b c (Å): 8.7752 8.6462 2.7927
angles (deg): 83.40 78.17 18.43
Closest atoms and distances in Å follow each position.
Atoms (fractional coordinates):
K: 0.0000 0.0000 0.0000  4 K 2.79
Mg: 0.3006 0.3006 0.6994  2 Re 2.79, 4 Mg 2.79
Re: 0.6690 0.6690 0.3310  2 Mg 2.79, 4 Re 2.79



This record from Alexandria describes Y2Rh after structural relaxation. The functional is PBE-GGA.

## Properties
formation energy = 641 meV/atom
volume = 145.6 Å³ per cell
Fermi-level density of states = 8.587 states/eV/cell
magnetic moment = 0.00 μB/cell
DFT total energy = -36.71 eV for the cell shown

a b c (Å): 5.9054 5.9054 5.9054
angles (deg): 60.00 60.00 60.00
Closest atoms and distances in Å follow each position.
Atoms (fractional coordinates):
Y: 0.0000 0.0000 0.0000  6 Y 2.95
Y: 0.0000 0.0000 0.5000  6 Y 2.95
Y: 0.0000 0.5000 0.0000  6 Y 2.95
Y: 0.5000 0.0000 0.0000  6 Y 2.95
Rh: 0.3750 0.3750 0.3750  12 Y 3.46, 4 Rh 3.62
Rh: 0.6250 0.6250 0.6250  12 Y 3.46, 4 Rh 3.62



This record from Alexandria describes PmCd4Au2 after structural relaxation. The functional is PBE-GGA.

## Properties
formation energy = -348 meV/atom
volume = 160.9 Å³ per cell
Fermi-level density of states = 3.487 states/eV/cell
energy relative to the lowest polymorph listed for this composition = 0.005 eV per atom
magnetic moment = 0.00 μB/cell
DFT total energy = -17.40 eV for the cell shown

a b c (Å): 9.2739 9.2739 4.1804
angles (deg): 90.00 90.00 153.41
Closest atoms and distances in Å follow each position.
Atoms (fractional coordinates):
Pm: 0.0000 0.0000 0.0000  8 Au 3.28
Cd: 0.1804 0.8196 0.5000  2 Au 2.86, 4 Cd 2.99
Cd: 0.3156 0.6844 0.0000  2 Au 2.88, 8 Cd 2.99-3.21
Cd: 0.6844 0.3156 0.0000  2 Au 2.88, 8 Cd 2.99-3.21
Cd: 0.8196 0.1804 0.5000  2 Au 2.86, 4 Cd 2.99
Au: 0.4252 0.5748 0.5000  1 Au 2.70, 4 Cd 2.86-2.88
Au: 0.5748 0.4252 0.5000  1 Au 2.70, 4 Cd 2.86-2.88



This record from Alexandria describes LaTlRu after structural relaxation. The functional is PBE-GGA.

## Properties
formation energy = -33 meV/atom
volume = 71.5 Å³ per cell
Fermi-level density of states = 1.698 states/eV/cell
magnetic moment = 0.00 μB/cell
DFT total energy = -16.67 eV for the cell shown

a b c (Å): 6.4450 6.4450 6.4450
angles (deg): 148.83 148.83 44.67
Closest atoms and distances in Å follow each position.
Atoms (fractional coordinates):
La: 0.0000 0.0000 0.0000  4 Ru 3.01, 1 Tl 3.34
Tl: 0.2799 0.2799 0.0000  4 Ru 2.92
Ru: 0.6468 0.6468 0.0000  4 Tl 2.92, 4 La 3.01



This record from Alexandria describes Th2CrGe4Ir3 after structural relaxation. The functional is PBE-GGA.

## Properties
formation energy = -703 meV/atom
volume = 187.4 Å³ per cell
Fermi-level density of states = 6.842 states/eV/cell
magnetic moment = 2.60 μB/cell
DFT total energy = -76.55 eV for the cell shown

a b c (Å): 4.2553 4.2553 10.3492
angles (deg): 90.00 90.00 90.00
Closest atoms and distances in Å follow each position.
Atoms (fractional coordinates):
Th: 0.0000 0.5000 0.2471  6 Ir 3.25-3.37, 8 Ge 3.26-3.33, 2 Cr 3.37
Th: 0.5000 0.0000 0.7529  6 Ir 3.25-3.37, 8 Ge 3.26-3.33, 2 Cr 3.37
Cr: 0.0000 0.0000 0.5000  4 Ge 2.53
Ge: 0.0000 0.0000 0.0000  4 Ir 2.51
Ge: 0.0000 0.5000 0.6324  3 Ir 2.47-2.53, 2 Cr 2.53
Ge: 0.5000 0.0000 0.3676  3 Ir 2.47-2.53, 2 Cr 2.53
Ge: 0.5000 0.5000 0.0000  4 Ir 2.51
Ir: 0.0000 0.5000 0.8714  5 Ge 2.47-2.51
Ir: 0.5000 0.0000 0.1286  5 Ge 2.47-2.51
Ir: 0.5000 0.5000 0.5000  4 Ge 2.53